[1]
AlGa4Co | PBE-GGA | relaxed

Total magnetization: 0.0000 μB per atom
Total DFT energy (no corrections): -3.90 eV per atom
ΔE_f: -72 meV/atom

```
AlGa4Co
1.0
5.3460 0.0000 0.0000
0.0000 6.4964 0.0000
0.0000 0.0000 5.6746
Al Ga Co
2 8 2
direct
0.0000 0.0000 0.0000 Al
0.5000 0.0000 0.5000 Al
0.2436 0.7073 0.2718 Ga
0.2436 0.2927 0.7282 Ga
0.7287 0.2827 0.7627 Ga
0.2713 0.7173 0.7627 Ga
0.2713 0.2827 0.2373 Ga
0.7287 0.7173 0.2373 Ga
0.7564 0.2927 0.2718 Ga
0.7564 0.7073 0.7282 Ga
0.0000 0.5000 0.0000 Co
0.0000 0.0000 0.5000 Co
```

[2]
Pu3Tl2SnO12 | PBE-GGA | relaxed

Formation energy (no corrections): -36.92 eV/f.u.
Total magnetization: 0.3333 μB per atom
Total DFT energy (no corrections): -8.23 eV per atom

```
Pu3Tl2SnO12
1.0
7.6737 -0.1195 -0.0848
3.6857 6.7317 -0.0848
3.6857 2.1454 6.3812
Tl Sn O Pu
2 1 12 3
direct
0.6675 0.6675 0.6675 Tl
0.3325 0.3325 0.3325 Tl
0.0000 0.0000 0.0000 Sn
0.9354 0.9354 0.3161 O
0.0646 0.6839 0.0646 O
0.0646 0.0646 0.6839 O
0.0517 0.6882 0.6882 O
0.9483 0.3118 0.3118 O
0.3118 0.9483 0.3118 O
0.6839 0.0646 0.0646 O
0.6882 0.6882 0.0517 O
0.3118 0.3118 0.9483 O
0.9354 0.3161 0.9354 O
0.3161 0.9354 0.9354 O
0.6882 0.0517 0.6882 O
0.0000 0.5000 0.0000 Pu
0.0000 0.0000 0.5000 Pu
0.5000 0.0000 0.0000 Pu
```

[3]
NdSc2Co | PBE-GGA | relaxed

Total magnetization: 0.0001 μB per atom
Total DFT energy (no corrections): -6.28 eV per atom
ΔE_f: -144 meV/atom

```
NdSc2Co
1.0
3.4842 -0.1278 0.0000
-1.5200 5.9761 0.0000
0.0000 0.0000 8.8371
Nd Sc Co
2 4 2
direct
0.5711 0.1423 0.7500 Nd
0.4289 0.8577 0.2500 Nd
0.1479 0.2951 0.4288 Sc
0.8521 0.7049 0.9288 Sc
0.8521 0.7049 0.5712 Sc
0.1479 0.2951 0.0712 Sc
0.2580 0.5166 0.7500 Co
0.7420 0.4834 0.2500 Co
```

[4]
K2UAgS6 | PBE-GGA | relaxed

Formation energy (no corrections): -7.14 eV/f.u.
Total magnetization: 0.0000 μB per atom
Total DFT energy (no corrections): -4.82 eV per atom

```
K2UAgS6
1.0
-3.6843 -5.3413 1.1503
2.9544 -0.8639 5.4511
-4.9692 6.1761 0.0774
K S Ag U
2 6 1 1
direct
0.2216 0.2328 0.4657 K
0.7784 0.7672 0.5343 K
0.7329 0.3411 0.6822 S
0.1993 0.7003 0.8484 S
0.2671 0.6589 0.3178 S
0.1993 0.1481 0.8484 S
0.8007 0.8519 0.1516 S
0.8007 0.2997 0.1516 S
0.5000 0.0000 0.0000 Ag
0.0000 0.5000 0.0000 U
```

Repeat the second record exactly.
Pu3Tl2SnO12 | PBE-GGA | relaxed

Formation energy (no corrections): -36.92 eV/f.u.
Total magnetization: 0.3333 μB per atom
Total DFT energy (no corrections): -8.23 eV per atom

```
Pu3Tl2SnO12
1.0
7.6737 -0.1195 -0.0848
3.6857 6.7317 -0.0848
3.6857 2.1454 6.3812
Tl Sn O Pu
2 1 12 3
direct
0.6675 0.6675 0.6675 Tl
0.3325 0.3325 0.3325 Tl
0.0000 0.0000 0.0000 Sn
0.9354 0.9354 0.3161 O
0.0646 0.6839 0.0646 O
0.0646 0.0646 0.6839 O
0.0517 0.6882 0.6882 O
0.9483 0.3118 0.3118 O
0.3118 0.9483 0.3118 O
0.6839 0.0646 0.0646 O
0.6882 0.6882 0.0517 O
0.3118 0.3118 0.9483 O
0.9354 0.3161 0.9354 O
0.3161 0.9354 0.9354 O
0.6882 0.0517 0.6882 O
0.0000 0.5000 0.0000 Pu
0.0000 0.0000 0.5000 Pu
0.5000 0.0000 0.0000 Pu
```

Q: What is the total DFT energy (no corrections) in the first record?
A: -3.90 eV per atom

Q: Which of these has the highest total magnetization?
A: Pu3Tl2SnO12